# TbCuRu

TbCuRu after structural relaxation (PBE, the Alexandria database).

Properties
SG: I4mm
distance to the lowest polymorph of the same formula: 234.0 meV/atom

a b c (Å): 5.2211 5.2211 5.2211
angles (deg): 141.96 141.96 54.88
Fractional positions:
Tb 0.0000 0.0000 0.0000
Cu 0.6981 0.6981 0.0000
Ru 0.3149 0.3149 0.0000

=====

# TbTiCuRu

TbTiCuRu after structural relaxation (PBE, the Alexandria database).

Properties
SG: F-43m

a b c (Å): 4.6284 4.6284 4.6284
angles (deg): 60.00 60.00 60.00
Fractional positions:
Tb 0.0000 0.0000 0.0000
Ti 0.5000 0.5000 0.5000
Cu 0.7500 0.7500 0.7500
Ru 0.2500 0.2500 0.2500

=====

# TbZnCuRu

TbZnCuRu after structural relaxation (PBE, the Alexandria database).

Properties
SG: F-43m

a b c (Å): 4.5819 4.5819 4.5819
angles (deg): 60.00 60.00 60.00
Fractional positions:
Tb 0.0000 0.0000 0.0000
Zn 0.5000 0.5000 0.5000
Cu 0.7500 0.7500 0.7500
Ru 0.2500 0.2500 0.2500

=====

# Tb2Zn5CuRu2

Tb2Zn5CuRu2 after structural relaxation (PBE, the Alexandria database).

Properties
SG: P4/mbm

a b c (Å): 10.0430 10.0430 3.4323
angles (deg): 90.00 90.00 90.00
Fractional positions:
Tb 0.1793 0.3207 0.0000
Tb 0.3207 0.8207 0.0000
Tb 0.6793 0.1793 0.0000
Tb 0.8207 0.6793 0.0000
Zn 0.0000 0.5000 0.5000
Zn 0.0524 0.8127 0.5000
Zn 0.1873 0.0524 0.5000
Zn 0.3127 0.5524 0.5000
Zn 0.4476 0.3127 0.5000
Zn 0.5000 0.0000 0.5000
Zn 0.5524 0.6873 0.5000
Zn 0.6873 0.4476 0.5000
Zn 0.8127 0.9476 0.5000
Zn 0.9476 0.1873 0.5000
Cu 0.0000 0.0000 0.0000
Cu 0.5000 0.5000 0.0000
Ru 0.1320 0.6320 0.0000
Ru 0.3680 0.1320 0.0000
Ru 0.6320 0.8680 0.0000
Ru 0.8680 0.3680 0.0000

=====

no.,N(E_F) (states/eV per cell),energy relative to the elements (meV per atom)
1,1.98,-59
2,4.05,-194
3,1.50,-86
4,11.47,-164